Na4Y3RuO8 | PBE | relaxed

Values from the calculation:
Energy relative to the elements, uncorrected in meV/atom: -2298
DOS(E_F) in states/eV per atom: 0.5013
Spin magnetization in Bohr magnetons per cell: 1.01

Lattice parameters (Å, degrees): 6.6591 6.7779 6.6591 119.42 120.00 90.00
Each line ends with the local moment (μB).
Sites, in units of the cell vectors:
Y 0.5000 0.5000 0.5000  0.00
Y 0.0000 0.5000 0.5000  0.00
Y 0.5000 0.5000 0.0000  0.00
O 0.2314 0.7146 0.4628  0.03
O 0.7686 0.2854 0.5372  0.03
O 0.7518 0.7146 0.9832  0.03
O 0.7686 0.2854 0.0168  0.03
O 0.2314 0.7146 0.9832  0.03
O 0.7378 0.7134 0.4756  0.00
O 0.2622 0.2866 0.5244  0.00
O 0.2482 0.2854 0.0168  0.03
Na 0.0000 0.0000 0.5000  0.00
Na 0.0000 0.0000 0.0000  0.00
Na 0.5000 0.0000 0.0000  0.00
Na 0.5000 0.0000 0.5000  0.00
Ru 0.0000 0.5000 0.0000  0.79

---

Na3Y3RuO8 | PBE | relaxed

Values from the calculation:
Energy relative to the elements, uncorrected in meV/atom: -2382
DOS(E_F) in states/eV per atom: 0.4341
Spin magnetization in Bohr magnetons per cell: 2.00

Lattice parameters (Å, degrees): 6.7004 6.7004 6.7724 119.65 90.00 120.00
Each line ends with the local moment (μB).
Sites, in units of the cell vectors:
Y 0.5000 0.0000 0.5000  0.01
Y 0.5000 0.5000 0.5000  0.01
Y 0.0000 0.5000 0.5000  0.01
O 0.7370 0.4740 0.7109  0.00
O 0.2630 0.5260 0.2891  0.00
O 0.7627 0.9813 0.6998  0.07
O 0.2373 0.0187 0.3002  0.07
O 0.7814 0.5628 0.3002  0.07
O 0.2186 0.9813 0.6998  0.07
O 0.7814 0.0187 0.3002  0.07
O 0.2186 0.4372 0.6998  0.07
Na 0.5000 0.5000 0.0000  0.00
Na 0.0000 0.5000 0.0000  0.00
Na 0.0000 0.0000 0.0000  0.00
Ru 0.0000 0.0000 0.5000  1.45

---

Na2YRuO4 | PBE | relaxed

Values from the calculation:
Energy relative to the elements, uncorrected in meV/atom: -1886
DOS(E_F) in states/eV per atom: 0.4113
Spin magnetization in Bohr magnetons per cell: 1.02

Lattice parameters (Å, degrees): 3.3347 5.4343 5.8644 109.14 90.00 90.00
Each line ends with the local moment (μB).
Sites, in units of the cell vectors:
Ru 0.0000 0.0000 0.0000  0.76
O 0.0000 0.7510 0.2215  0.03
O 0.0000 0.2490 0.7785  0.03
O 0.5000 0.7933 0.7980  0.07
O 0.5000 0.2067 0.2020  0.07
Y 0.5000 0.5000 0.0000  0.00
Na 0.5000 0.0000 0.5000  0.00
Na 0.0000 0.5000 0.5000  0.00

---

Na2Y2RuO6 | PBE | relaxed

Values from the calculation:
Energy relative to the elements, uncorrected in meV/atom: -2207
DOS(E_F) in states/eV per atom: 0.5727
Spin magnetization in Bohr magnetons per cell: 2.00

Lattice parameters (Å, degrees): 5.7386 5.7386 5.8797 97.46 97.46 119.91
Each line ends with the local moment (μB).
Sites, in units of the cell vectors:
O 0.3548 0.0428 0.6924  0.07
O 0.9572 0.6452 0.3076  0.07
O 0.0428 0.3548 0.6924  0.07
O 0.2481 0.2481 0.2982  0.05
O 0.6452 0.9572 0.3076  0.07
O 0.7519 0.7519 0.7018  0.05
Ru 0.0000 0.0000 0.5000  1.45
Na 0.1455 0.8545 0.0000  0.00
Na 0.8545 0.1455 0.0000  0.00
Y 0.6629 0.3371 0.5000  0.01
Y 0.3371 0.6629 0.5000  0.01

---

The highest energy relative to the elements, uncorrected belongs to which entry? Na2YRuO4

---

What is the energy relative to the elements, uncorrected in the fourth record? -2207 meV/atom

---

Which formula does entry 4 have? Na2Y2RuO6